Entry 1:
The following is a GGA-PBEsol calculation of an optimized crystal structure of SrMnC2, from Alexandria.

Values from the calculation:
The value obtained for the calculated total energy is -6.0882 eV/atom. The magnetic moment is 10.098 μB per cell. Its density of states at the Fermi level is 10.695 states/eV/cell. As for the space group: Fm-3m (225).

abc: 5.884 5.884 5.884
angles: 90.00 90.00 90.00
Fractional positions:
Sr1 0.000 0.000 0.000
Sr2 0.000 0.500 0.500
Sr3 0.500 0.000 0.500
Sr4 0.500 0.500 0.000
Mn1 0.000 0.000 0.500
Mn2 0.000 0.500 0.000
Mn3 0.500 0.000 0.000
Mn4 0.500 0.500 0.500
C1 0.250 0.250 0.250
C2 0.250 0.250 0.750
C3 0.250 0.750 0.250
C4 0.250 0.750 0.750
C5 0.750 0.250 0.250
C6 0.750 0.250 0.750
C7 0.750 0.750 0.250
C8 0.750 0.750 0.750



Entry 2:
The following is a GGA-PBEsol calculation of an optimized crystal structure of LaReHg2, from Alexandria.

Values from the calculation:
The magnetic moment is 0.000 μB per cell. The value obtained for the offset from the most stable computed form is 19 meV/atom. Its density of states at the Fermi level is 2.362 states/eV/cell. As for the space group: Pmmm (47).

abc: 2.995 4.452 6.257
angles: 90.00 90.00 90.00
Fractional positions:
La1 0.000 0.000 0.000
Re1 0.000 0.000 0.500
Hg1 0.500 0.500 0.281
Hg2 0.500 0.500 0.719



Entry 3:
The following is a GGA-PBEsol calculation of an optimized crystal structure of Mg2SiIr2, from Alexandria.

Values from the calculation:
The magnetic moment is 0.000 μB per cell. Its density of states at the Fermi level is 4.806 states/eV/cell. As for the space group: P4/mbm (127). Its uncorrected formation energy is -0.525 eV per atom.

abc: 6.099 6.099 4.351
angles: 90.00 90.00 90.00
Fractional positions:
Mg1 0.165 0.335 0.000
Mg2 0.335 0.835 0.000
Mg3 0.665 0.165 0.000
Mg4 0.835 0.665 0.000
Si1 0.000 0.000 0.500
Si2 0.500 0.500 0.500
Ir1 0.148 0.648 0.500
Ir2 0.352 0.148 0.500
Ir3 0.648 0.852 0.500
Ir4 0.852 0.352 0.500



Entry 4:
The following is a GGA-PBEsol calculation of an optimized crystal structure of LiAu2, from Alexandria.

Values from the calculation:
The value obtained for the calculated total energy is -3.6557 eV/atom. The magnetic moment is 0.000 μB per cell. Its density of states at the Fermi level is 3.058 states/eV/cell. As for the space group: Cmcm (63).

abc: 2.763 14.788 4.656
angles: 90.00 90.00 90.00
Fractional positions:
Li1 0.000 0.110 0.250
Li2 0.000 0.890 0.750
Li3 0.500 0.390 0.750
Li4 0.500 0.610 0.250
Au1 0.000 0.223 0.750
Au2 0.000 0.448 0.250
Au3 0.000 0.552 0.750
Au4 0.000 0.777 0.250
Au5 0.500 0.052 0.750
Au6 0.500 0.277 0.250
Au7 0.500 0.723 0.750
Au8 0.500 0.948 0.250



Entry 5:
The following is a GGA-PBEsol calculation of an optimized crystal structure of TcWNO2, from Alexandria.

Values from the calculation:
The magnetic moment is 4.543 μB per cell. Its density of states at the Fermi level is 1.549 states/eV/cell. As for the space group: P4/mmm (123). Its uncorrected formation energy is -0.288 eV per atom.

abc: 3.861 3.861 4.007
angles: 90.00 90.00 90.00
Fractional positions:
Tc1 0.000 0.000 0.000
W1 0.500 0.500 0.500
N1 0.500 0.500 0.000
O1 0.000 0.500 0.500
O2 0.500 0.000 0.500



Entry 6:
The following is a GGA-PBEsol calculation of an optimized crystal structure of LiMoSe3, from Alexandria.

Values from the calculation:
The magnetic moment is 2.619 μB per cell. Its density of states at the Fermi level is 4.099 states/eV/cell. As for the space group: Pm-3m (221). Its uncorrected formation energy is 0.649 eV per atom.

abc: 4.516 4.516 4.516
angles: 90.00 90.00 90.00
Fractional positions:
Li1 0.000 0.000 0.000
Mo1 0.500 0.500 0.500
Se1 0.000 0.000 0.500
Se2 0.000 0.500 0.000
Se3 0.500 0.000 0.000